Density functional theory data (SCAN) for SrRe2Au at its PBEsol-relaxed geometry.

SG: Pmmm
Relative energy among the computed polymorphs in meV per atom: 76.3
Formation enthalpy at 0 K in eV/f.u.: 3.321

Cell lengths 2.8432, 4.8551, 5.2554 Å; angles 90.00, 90.00, 90.00 degrees
Atoms (fractional coordinates):
Au  0.0000  0.5000  0.5000
Re  0.0000  0.0000  0.0000
Re  0.5000  0.5000  0.0000
Sr  0.5000  0.0000  0.5000